The following is a PBE calculation of a relaxed structure of TlGaMo2, from Alexandria via LeMat-Bulk. Values from VASP.

The calculation puts the volume at 17.13 Å³/atom. Its space group is Fm-3m (225). Its spin magnetization is 0.000 μB per formula unit. The energy relative to the elements comes out at 0.634 eV per atom. Its electronic total energy is -6.130 eV/atom.

Structure (Quantum ESPRESSO input):
```
&SYSTEM
  ibrav = 0, nat = 4, ntyp = 3
/
ATOMIC_SPECIES
Mo 95.94 Mo.upf
Tl 204.38 Tl.upf
Ga 69.72 Ga.upf
CELL_PARAMETERS angstrom
0.000 3.248 3.248
3.248 0.000 3.248
3.248 3.248 0.000
ATOMIC_POSITIONS crystal
Mo 0.250 0.250 0.250
Tl 0.500 0.500 0.500
Mo 0.750 0.750 0.750
Ga 0.000 0.000 0.000
```

=====

The following is a PBE calculation of a relaxed structure of Tl2GaMo, from Alexandria via LeMat-Bulk. Values from VASP.

The calculation puts the volume at 23.08 Å³/atom. Its space group is Fm-3m (225). Its spin magnetization is 3.089 μB per formula unit. The energy relative to the elements comes out at 0.814 eV per atom. Its electronic total energy is -3.834 eV/atom.

Structure (Quantum ESPRESSO input):
```
&SYSTEM
  ibrav = 0, nat = 4, ntyp = 3
/
ATOMIC_SPECIES
Ga 69.72 Ga.upf
Tl 204.38 Tl.upf
Mo 95.94 Mo.upf
CELL_PARAMETERS angstrom
-2.155 4.082 2.104
0.907 4.613 -1.906
-3.666 2.490 -2.469
ATOMIC_POSITIONS crystal
Ga 0.000 0.000 0.000
Tl 0.250 0.250 0.250
Tl 0.750 0.750 0.750
Mo 0.500 0.500 0.500
```

=====

The following is a PBE calculation of a relaxed structure of TlGaMo3, from Alexandria via LeMat-Bulk. Values from VASP.

The calculation puts the volume at 24.65 Å³/atom. Its space group is Pm-3m (221). Its spin magnetization is 0.000 μB per formula unit. The energy relative to the elements comes out at 2.601 eV per atom. Its electronic total energy is -4.977 eV/atom.

Structure (Quantum ESPRESSO input):
```
&SYSTEM
  ibrav = 0, nat = 5, ntyp = 3
/
ATOMIC_SPECIES
Mo 95.94 Mo.upf
Ga 69.72 Ga.upf
Tl 204.38 Tl.upf
CELL_PARAMETERS angstrom
-2.671 -1.182 -4.029
3.036 -3.842 -0.886
-2.900 -2.934 2.783
ATOMIC_POSITIONS crystal
Mo 0.000 0.000 0.500
Mo 0.000 0.500 0.000
Ga 0.500 0.500 0.500
Mo 0.500 0.000 0.000
Tl 0.000 0.000 0.000
```

=====

The following is a PBE calculation of a relaxed structure of TlGaMo3, from Alexandria via LeMat-Bulk. Values from VASP.

The calculation puts the volume at 20.08 Å³/atom. Its space group is Pm-3m (221). Its spin magnetization is 0.000 μB per formula unit. The energy relative to the elements comes out at 1.424 eV per atom. Its electronic total energy is -6.153 eV/atom.

Structure (Quantum ESPRESSO input):
```
&SYSTEM
  ibrav = 0, nat = 5, ntyp = 3
/
ATOMIC_SPECIES
Ga 69.72 Ga.upf
Mo 95.94 Mo.upf
Tl 204.38 Tl.upf
CELL_PARAMETERS angstrom
4.648 0.000 0.000
0.000 4.648 0.000
0.000 0.000 4.648
ATOMIC_POSITIONS crystal
Ga 0.000 0.000 0.000
Mo 0.000 0.000 0.500
Mo 0.500 0.000 0.000
Tl 0.500 0.500 0.500
Mo 0.000 0.500 0.000
```

=====

The following is a PBE calculation of a relaxed structure of TlGa3Mo, from Alexandria via LeMat-Bulk. Values from VASP.

The calculation puts the volume at 24.79 Å³/atom. Its space group is Pm-3m (221). Its spin magnetization is 0.000 μB per formula unit. The energy relative to the elements comes out at 0.250 eV per atom. Its electronic total energy is -4.205 eV/atom.

Structure (Quantum ESPRESSO input):
```
&SYSTEM
  ibrav = 0, nat = 5, ntyp = 3
/
ATOMIC_SPECIES
Ga 69.72 Ga.upf
Mo 95.94 Mo.upf
Tl 204.38 Tl.upf
CELL_PARAMETERS angstrom
-1.673 -3.423 -3.216
-2.647 -2.133 3.647
-3.880 2.932 -1.101
ATOMIC_POSITIONS crystal
Ga 0.000 0.500 0.000
Ga 0.500 0.000 0.000
Mo 0.000 0.000 0.000
Tl 0.500 0.500 0.500
Ga 0.000 0.000 0.500
```

=====

The following is a PBE calculation of a relaxed structure of Y2TlGaMo, from Alexandria via LeMat-Bulk. Values from VASP.

The calculation puts the volume at 32.50 Å³/atom. Its space group is P4/mmm (123). Its spin magnetization is 4.069 μB per formula unit. The energy relative to the elements comes out at 1.163 eV per atom. Its electronic total energy is -4.668 eV/atom.

Structure (Quantum ESPRESSO input):
```
&SYSTEM
  ibrav = 0, nat = 5, ntyp = 4
/
ATOMIC_SPECIES
Y 88.91 Y.upf
Mo 95.94 Mo.upf
Tl 204.38 Tl.upf
Ga 69.72 Ga.upf
CELL_PARAMETERS angstrom
5.735 0.000 0.000
0.000 4.942 0.000
0.000 0.000 5.735
ATOMIC_POSITIONS crystal
Y 0.500 0.000 0.000
Mo 0.500 0.500 0.500
Y 0.000 0.000 0.500
Tl 0.000 0.000 0.000
Ga 0.000 0.500 0.000
```

=====

The following is a PBE calculation of a relaxed structure of ZrTlGa2Mo, from Alexandria via LeMat-Bulk. Values from VASP.

The calculation puts the volume at 24.09 Å³/atom. Its space group is P4/mmm (123). Its spin magnetization is 0.959 μB per formula unit. The energy relative to the elements comes out at 0.691 eV per atom. Its electronic total energy is -4.869 eV/atom.

Structure (Quantum ESPRESSO input):
```
&SYSTEM
  ibrav = 0, nat = 5, ntyp = 4
/
ATOMIC_SPECIES
Ga 69.72 Ga.upf
Zr 91.22 Zr.upf
Mo 95.94 Mo.upf
Tl 204.38 Tl.upf
CELL_PARAMETERS angstrom
4.792 0.000 0.000
0.000 5.243 0.000
0.000 0.000 4.792
ATOMIC_POSITIONS crystal
Ga 0.000 0.000 0.500
Zr 0.500 0.500 0.500
Ga 0.500 0.000 0.000
Mo 0.000 0.000 0.000
Tl 0.000 0.500 0.000
```

=====

The following is a PBE calculation of a relaxed structure of TmGa6Mo, from Alexandria via LeMat-Bulk. Values from VASP.

The calculation puts the volume at 19.70 Å³/atom. Its space group is R-3m (166). Its spin magnetization is 0.000 μB per formula unit. The energy relative to the elements comes out at -0.090 eV per atom. Its electronic total energy is -4.273 eV/atom.

Structure (Quantum ESPRESSO input):
```
&SYSTEM
  ibrav = 0, nat = 8, ntyp = 3
/
ATOMIC_SPECIES
Ga 69.72 Ga.upf
Tm 168.93 Tm.upf
Mo 95.94 Mo.upf
CELL_PARAMETERS angstrom
-4.826 -3.180 0.566
3.708 -1.570 4.185
-2.415 1.270 5.129
ATOMIC_POSITIONS crystal
Ga 0.726 0.726 0.823
Tm 0.500 0.500 0.500
Ga 0.177 0.726 0.274
Ga 0.726 0.177 0.274
Ga 0.274 0.274 0.177
Mo 0.000 0.000 0.000
Ga 0.274 0.823 0.726
Ga 0.823 0.274 0.726
```

=====

The following is a PBE calculation of a relaxed structure of TmGa2Mo, from Alexandria via LeMat-Bulk. Values from VASP.

The calculation puts the volume at 18.79 Å³/atom. Its space group is R-3m (166). Its spin magnetization is 0.000 μB per formula unit. The energy relative to the elements comes out at 0.010 eV per atom. Its electronic total energy is -5.329 eV/atom.

Structure (Quantum ESPRESSO input):
```
&SYSTEM
  ibrav = 0, nat = 4, ntyp = 3
/
ATOMIC_SPECIES
Tm 168.93 Tm.upf
Ga 69.72 Ga.upf
Mo 95.94 Mo.upf
CELL_PARAMETERS angstrom
-2.651 1.063 1.077
-2.636 -1.056 -1.120
-1.823 -6.704 6.453
ATOMIC_POSITIONS crystal
Tm 0.500 0.500 0.500
Ga 0.258 0.258 0.226
Ga 0.742 0.742 0.774
Mo 0.000 0.000 0.000
```

=====

The following is a PBE calculation of a relaxed structure of TmGaMo, from Alexandria via LeMat-Bulk. Values from VASP.

The calculation puts the volume at 20.18 Å³/atom. Its space group is P-62m (189). Its spin magnetization is 0.000 μB per formula unit. The energy relative to the elements comes out at -0.166 eV per atom. Its electronic total energy is -6.276 eV/atom.

Structure (Quantum ESPRESSO input):
```
&SYSTEM
  ibrav = 0, nat = 9, ntyp = 3
/
ATOMIC_SPECIES
Mo 95.94 Mo.upf
Tm 168.93 Tm.upf
Ga 69.72 Ga.upf
CELL_PARAMETERS angstrom
4.429 0.000 0.000
0.000 6.882 0.000
0.000 -3.441 5.960
ATOMIC_POSITIONS crystal
Mo 0.500 0.215 0.215
Tm 0.000 0.000 0.427
Mo 0.500 0.785 0.000
Tm 0.000 0.573 0.573
Tm 0.000 0.427 0.000
Ga 0.500 0.667 0.333
Ga 0.500 0.333 0.667
Mo 0.500 0.000 0.785
Ga 0.000 0.000 0.000
```

=====

The following is a PBE calculation of a relaxed structure of TmGa4Mo, from Alexandria via LeMat-Bulk. Values from VASP.

The calculation puts the volume at 16.83 Å³/atom. Its space group is F-43m (216). Its spin magnetization is 0.000 μB per formula unit. The energy relative to the elements comes out at -0.161 eV per atom. Its electronic total energy is -4.729 eV/atom.

Structure (Quantum ESPRESSO input):
```
&SYSTEM
  ibrav = 0, nat = 6, ntyp = 3
/
ATOMIC_SPECIES
Mo 95.94 Mo.upf
Ga 69.72 Ga.upf
Tm 168.93 Tm.upf
CELL_PARAMETERS angstrom
5.227 0.000 0.000
2.614 4.527 0.000
2.614 1.509 4.268
ATOMIC_POSITIONS crystal
Mo 0.000 0.000 0.000
Ga 0.125 0.625 0.625
Ga 0.625 0.625 0.625
Ga 0.625 0.125 0.625
Tm 0.250 0.250 0.250
Ga 0.625 0.625 0.125
```

=====

The following is a PBE calculation of a relaxed structure of Tm4Ga12Mo, from Alexandria via LeMat-Bulk. Values from VASP.

The calculation puts the volume at 18.77 Å³/atom. Its space group is Im-3m (229). Its spin magnetization is 0.000 μB per formula unit. The energy relative to the elements comes out at -0.476 eV per atom. Its electronic total energy is -4.302 eV/atom.

Structure (Quantum ESPRESSO input):
```
&SYSTEM
  ibrav = 0, nat = 17, ntyp = 3
/
ATOMIC_SPECIES
Ga 69.72 Ga.upf
Tm 168.93 Tm.upf
Mo 95.94 Mo.upf
CELL_PARAMETERS angstrom
-4.306 5.833 -1.739
-2.084 -5.917 -4.030
-0.731 -1.553 7.256
ATOMIC_POSITIONS crystal
Ga 0.294 0.000 0.294
Ga 0.250 0.750 0.500
Ga 0.000 0.294 0.294
Tm 0.500 0.000 0.000
Tm 0.000 0.000 0.500
Ga 0.750 0.250 0.500
Ga 0.294 0.294 0.000
Tm 0.500 0.500 0.500
Ga 0.500 0.750 0.250
Ga 0.750 0.500 0.250
Mo 0.000 0.000 0.000
Ga 0.250 0.500 0.750
Ga 0.500 0.250 0.750
Ga 0.000 0.706 0.706
Tm 0.000 0.500 0.000
Ga 0.706 0.706 0.000
Ga 0.706 0.000 0.706
```